*P*
Density functional theory data (PBE-GGA) for a relaxed FeAgRh2 crystal.

It has space group Pmm2 (No. 25), with a = 2.751 Å, b = 3.820 Å, c = 5.611 Å, α = 90.00°, β = 90.00° and γ = 90.00°. The asymmetric unit holds Fe at (0.000, 0.000, 0.000), Ag at (0.500, 0.500, 0.730), Rh at (0.000, 0.000, 0.457) and Rh at (0.500, 0.500, 0.220).

The value obtained for the total magnetization is 3.5 μB/f.u.

---

*Q*
Density functional theory data (PBE-GGA) for a relaxed FeAgRh2 crystal.

It has space group Cmm2 (No. 35), with a = 2.767 Å, b = 4.636 Å, c = 9.266 Å, α = 90.00°, β = 90.00° and γ = 90.00°. The asymmetric unit holds Fe at (0.000, 0.000, 0.000), Ag at (0.000, 0.500, 0.745), Rh at (0.000, 0.000, 0.478) and Rh at (0.000, 0.500, 0.228).

The value obtained for the total magnetization is 2.6 μB/f.u.

---

Most stable to least stable, the ends of the list are *P* and *Q*.

---

*P*
Density functional theory data (PBE-GGA) for a relaxed Fe2Ag2Rh crystal.

It has space group P4/mbm (No. 127), with a = 6.280 Å, b = 6.280 Å, c = 4.019 Å, α = 90.00°, β = 90.00° and γ = 90.00°. The asymmetric unit holds Fe at (0.129, 0.371, 0.000), Ag at (0.172, 0.672, 0.500) and Rh at (0.000, 0.000, 0.000).

The value obtained for the total magnetization is 7.0 μB/f.u.

---

*Q*
Density functional theory data (PBE-GGA) for a relaxed Fe2Ag2Rh crystal.

It has space group I4/mmm (No. 139), with a = 3.675 Å, b = 3.675 Å, c = 12.197 Å, α = 90.00°, β = 90.00° and γ = 90.00°. The asymmetric unit holds Fe at (0.000, 0.000, 0.087), Ag at (0.000, 0.500, 0.250) and Rh at (0.000, 0.000, 0.500).

The value obtained for the total magnetization is 6.8 μB/f.u.

---

Most stable to least stable, the ends of the list are *P* and *Q*.

---

*P*
Density functional theory data (PBE-GGA) for a relaxed FeAg2Ru crystal.

It has space group Cmmm (No. 65), with a = 2.802 Å, b = 4.619 Å, c = 9.676 Å, α = 90.00°, β = 90.00° and γ = 90.00°. The asymmetric unit holds Fe at (0.000, 0.000, 0.000), Ag at (0.000, 0.500, 0.243) and Ru at (0.000, 0.000, 0.500).

The value obtained for the total magnetization is 3.3 μB/f.u.

---

*Q*
Density functional theory data (PBE-GGA) for a relaxed FeAg2Ru crystal.

It has space group Cmm2 (No. 35), with a = 3.011 Å, b = 4.572 Å, c = 9.149 Å, α = 90.00°, β = 90.00° and γ = 90.00°. The asymmetric unit holds Fe at (0.000, 0.000, 0.000), Ag at (0.000, 0.000, 0.478), Ag at (0.000, 0.500, 0.750) and Ru at (0.000, 0.500, 0.212).

The value obtained for the total magnetization is 3.9 μB/f.u.

---

Most stable to least stable, the ends of the list are *Q* and *P*.

---

*P*
Density functional theory data (PBE-GGA) for a relaxed FeAg2Ru crystal.

It has space group I-4m2 (No. 119), with a = 4.075 Å, b = 4.075 Å, c = 7.485 Å, α = 90.00°, β = 90.00° and γ = 90.00°. The asymmetric unit holds Fe at (0.000, 0.000, 0.000), Ag at (0.000, 0.000, 0.500), Ag at (0.000, 0.500, 0.250) and Ru at (0.000, 0.500, 0.750).

The value obtained for the total magnetization is 4.1 μB/f.u.

---

*Q*
Density functional theory data (PBE-GGA) for a relaxed FeAg2Ru crystal.

It has space group Fm-3m (No. 225), with a = 6.224 Å, b = 6.224 Å, c = 6.224 Å, α = 90.00°, β = 90.00° and γ = 90.00°. The asymmetric unit holds Fe at (0.000, 0.000, 0.000), Ag at (0.250, 0.250, 0.250) and Ru at (0.000, 0.000, 0.500).

The value obtained for the total magnetization is 0.0 μB/f.u.

---

*R*
Density functional theory data (PBE-GGA) for a relaxed FeAg2Ru crystal.

It has space group I4/mmm (No. 139), with a = 3.803 Å, b = 3.803 Å, c = 8.604 Å, α = 90.00°, β = 90.00° and γ = 90.00°. The asymmetric unit holds Fe at (0.000, 0.000, 0.000), Ag at (0.000, 0.500, 0.250) and Ru at (0.000, 0.000, 0.500).

The value obtained for the total magnetization is 4.0 μB/f.u.

---

*S*
Density functional theory data (PBE-GGA) for a relaxed FeAg2Ru crystal.

It has space group R-3m (No. 166, hexagonal axes), with a = 2.7445 Å, b = 2.7445 Å, c = 28.3919 Å, α = 90.00°, β = 90.00° and γ = 120.00°. The asymmetric unit holds Fe at (0.0000, 0.0000, 0.0000), Ag at (0.0000, 0.0000, 0.2518) and Ru at (0.0000, 0.0000, 0.5000).

The value obtained for the total magnetization is 3.1 μB/f.u.

---

Most stable to least stable, the ends of the list are *S* and *Q*.

---

*P*
Density functional theory data (PBE-GGA) for a relaxed FeAg2Ru crystal.

It has space group P4/mmm (No. 123), with a = 3.799 Å, b = 3.799 Å, c = 4.320 Å, α = 90.00°, β = 90.00° and γ = 90.00°. The asymmetric unit holds Fe at (0.000, 0.000, 0.000), Ag at (0.000, 0.500, 0.500) and Ru at (0.500, 0.500, 0.000).

The value obtained for the total magnetization is 4.3 μB/f.u.

---

*Q*
Density functional theory data (PBE-GGA) for a relaxed FeAg2Ru crystal.

It has space group P2/m (No. 10), with a = 2.658 Å, b = 4.779 Å, c = 4.942 Å, α = 90.00°, β = 95.74° and γ = 90.00°. The asymmetric unit holds Fe at (0.000, 0.000, 0.000), Ag at (0.222, 0.500, 0.753) and Ru at (0.500, 0.000, 0.500).

The value obtained for the total magnetization is 3.5 μB/f.u.

---

*R*
Density functional theory data (PBE-GGA) for a relaxed FeAg2Ru crystal.

It has space group C2/m (No. 12), with a = 9.662 Å, b = 2.693 Å, c = 4.807 Å, α = 90.00°, β = 99.39° and γ = 90.00°. The asymmetric unit holds Fe at (0.000, 0.000, 0.000), Ag at (0.249, 0.500, 0.248) and Ru at (0.000, 0.500, 0.500).

The value obtained for the total magnetization is 3.1 μB/f.u.

---

Most stable to least stable, the ends of the list are *R* and *Q*.

---

*P*
Density functional theory data (PBE-GGA) for a relaxed FeAg2Ru crystal.

It has space group Pmmm (No. 47), with a = 3.131 Å, b = 4.316 Å, c = 4.616 Å, α = 90.00°, β = 90.00° and γ = 90.00°. The asymmetric unit holds Fe at (0.000, 0.000, 0.000), Ag at (0.000, 0.500, 0.500), Ag at (0.500, 0.000, 0.500) and Ru at (0.500, 0.500, 0.000).

The value obtained for the total magnetization is 4.0 μB/f.u.

---

*Q*
Density functional theory data (PBE-GGA) for a relaxed FeAg2Ru crystal.

It has space group Cmmm (No. 65), with a = 5.410 Å, b = 8.555 Å, c = 2.686 Å, α = 90.00°, β = 90.00° and γ = 90.00°. The asymmetric unit holds Fe at (0.000, 0.000, 0.000), Ag at (0.250, 0.250, 0.500) and Ru at (0.000, 0.500, 0.000).

The value obtained for the total magnetization is 3.9 μB/f.u.

---

*R*
Density functional theory data (PBE-GGA) for a relaxed FeAg2Ru crystal.

It has space group P4mm (No. 99), with a = 2.782 Å, b = 2.782 Å, c = 7.891 Å, α = 90.00°, β = 90.00° and γ = 90.00°. The asymmetric unit holds Fe at (0.000, 0.000, 0.000), Ag at (0.000, 0.000, 0.462), Ag at (0.500, 0.500, 0.744) and Ru at (0.500, 0.500, 0.186).

The value obtained for the total magnetization is 1.6 μB/f.u.

---

*S*
Density functional theory data (PBE-GGA) for a relaxed FeAg2Ru crystal.

It has space group P4/mmm (No. 123), with a = 2.693 Å, b = 2.693 Å, c = 8.557 Å, α = 90.00°, β = 90.00° and γ = 90.00°. The asymmetric unit holds Fe at (0.000, 0.000, 0.000), Ag at (0.500, 0.500, 0.241) and Ru at (0.000, 0.000, 0.500).

The value obtained for the total magnetization is 3.9 μB/f.u.

---

Most stable to least stable, the ends of the list are *R* and *S*.

---

*P*
Density functional theory data (PBE-GGA) for a relaxed FeAg2Ru crystal.

It has space group R3m (No. 160, hexagonal axes), with a = 2.7666 Å, b = 2.7666 Å, c = 27.8770 Å, α = 90.00°, β = 90.00° and γ = 120.00°. The asymmetric unit holds Fe at (0.0000, 0.0000, 0.0000), Ag at (0.0000, 0.0000, 0.5077), Ag at (0.0000, 0.0000, 0.7497) and Ru at (0.0000, 0.0000, 0.2629).

The value obtained for the total magnetization is 2.5 μB/f.u.

---

*Q*
Density functional theory data (PBE-GGA) for a relaxed FeAg2Ru crystal.

It has space group Imm2 (No. 44), with a = 2.964 Å, b = 4.702 Å, c = 9.081 Å, α = 90.00°, β = 90.00° and γ = 90.00°. The asymmetric unit holds Fe at (0.000, 0.000, 0.000), Ag at (0.000, 0.000, 0.477), Ag at (0.000, 0.500, 0.248) and Ru at (0.000, 0.500, 0.705).

The value obtained for the total magnetization is 3.7 μB/f.u.

---

*R*
Density functional theory data (PBE-GGA) for a relaxed FeAg2Ru crystal.

It has space group I-42d (No. 122), with a = 7.261 Å, b = 7.261 Å, c = 5.028 Å, α = 90.00°, β = 90.00° and γ = 90.00°. The asymmetric unit holds Fe at (0.000, 0.000, 0.000), Ag at (0.225, 0.250, 0.125) and Ru at (0.000, 0.000, 0.500).

The value obtained for the total magnetization is 0.9 μB/f.u.

---

Most stable to least stable, the ends of the list are *P* and *R*.

---

*P*
Density functional theory data (PBE-GGA) for a relaxed FeAgRu crystal.

It has space group P3m1 (No. 156), with a = 2.7270 Å, b = 2.7270 Å, c = 6.7800 Å, α = 90.00°, β = 90.00° and γ = 120.00°. The asymmetric unit holds Fe at (0.0000, 0.0000, 0.0000), Ag at (0.3333, 0.6667, 0.6566) and Ru at (0.6667, 0.3333, 0.2897).

The value obtained for the total magnetization is 2.1 μB/f.u.

---

*Q*
Density functional theory data (PBE-GGA) for a relaxed FeAgRu crystal.

It has space group F-43m (No. 216), with a = 5.837 Å, b = 5.837 Å, c = 5.837 Å, α = 90.00°, β = 90.00° and γ = 90.00°. The asymmetric unit holds Fe at (0.000, 0.000, 0.000), Ag at (0.250, 0.250, 0.750) and Ru at (0.250, 0.250, 0.250).

The value obtained for the total magnetization is 3.0 μB/f.u.

---

*R*
Density functional theory data (PBE-GGA) for a relaxed FeAgRu crystal.

It has space group Fmm2 (No. 42), with a = 2.985 Å, b = 4.475 Å, c = 13.438 Å, α = 90.00°, β = 90.00° and γ = 90.00°. The asymmetric unit holds Fe at (0.000, 0.000, 0.000), Ag at (0.000, 0.000, 0.329) and Ru at (0.000, 0.000, 0.646).

The value obtained for the total magnetization is 3.5 μB/f.u.

---

*S*
Density functional theory data (PBE-GGA) for a relaxed FeAgRu crystal.

It has space group I4mm (No. 107), with a = 2.751 Å, b = 2.751 Å, c = 11.481 Å, α = 90.00°, β = 90.00° and γ = 90.00°. The asymmetric unit holds Fe at (0.000, 0.000, 0.000), Ag at (0.000, 0.000, 0.323) and Ru at (0.000, 0.000, 0.632).

The value obtained for the total magnetization is 1.8 μB/f.u.

---

Most stable to least stable, the ends of the list are *P* and *Q*.

---

*P*
Density functional theory data (PBE-GGA) for a relaxed Fe2AgS2 crystal.

It has space group P4/mbm (No. 127), with a = 6.868 Å, b = 6.868 Å, c = 3.142 Å, α = 90.00°, β = 90.00° and γ = 90.00°. The asymmetric unit holds Fe at (0.129, 0.371, 0.000), Ag at (0.000, 0.000, 0.000) and S at (0.160, 0.660, 0.500).

The value obtained for the total magnetization is 6.3 μB/f.u.

---

*Q*
Density functional theory data (PBE-GGA) for a relaxed Fe2AgS2 crystal.

It has space group I4/mmm (No. 139), with a = 3.805 Å, b = 3.805 Å, c = 9.919 Å, α = 90.00°, β = 90.00° and γ = 90.00°. The asymmetric unit holds Fe at (0.000, 0.000, 0.134), Ag at (0.000, 0.000, 0.500) and S at (0.000, 0.500, 0.250).

The value obtained for the total magnetization is 1.5 μB/f.u.

---

Most stable to least stable, the ends of the list are *P* and *Q*.

---

*P*
Density functional theory data (PBE-GGA) for a relaxed FeAgSbTe2 crystal.

It has space group P4/mmm (No. 123), with a = 5.202 Å, b = 5.202 Å, c = 4.884 Å, α = 90.00°, β = 90.00° and γ = 90.00°. The asymmetric unit holds Fe at (0.000, 0.000, 0.000), Ag at (0.500, 0.500, 0.500), Sb at (0.000, 0.000, 0.500) and Te at (0.000, 0.500, 0.000).

The value obtained for the total magnetization is 2.2 μB/f.u.

---

*Q*
Density functional theory data (PBE-GGA) for a relaxed FeAgSbTe2 crystal.

It has space group P4/mmm (No. 123), with a = 5.466 Å, b = 5.466 Å, c = 5.235 Å, α = 90.00°, β = 90.00° and γ = 90.00°. The asymmetric unit holds Fe at (0.000, 0.000, 0.000), Ag at (0.500, 0.500, 0.500), Sb at (0.500, 0.500, 0.000) and Te at (0.000, 0.500, 0.500).

The value obtained for the total magnetization is 3.5 μB/f.u.

---

Most stable to least stable, the ends of the list are *P* and *Q*.